[1]
# PmZn2SiNi (PBE, relaxed)
data_PmZn2SiNi
_chemical_formula_sum 'Pm2 Zn4 Si2 Ni2'
_cell_length_a 4.116
_cell_length_b 4.122
_cell_length_c 10.165
_cell_angle_alpha 90.00
_cell_angle_beta 90.00
_cell_angle_gamma 90.00
_symmetry_space_group_name_H-M 'I m m 2'
_symmetry_Int_Tables_number 44
_symmetry_space_group_name_Hall 'I 2 -2'
loop_
_atom_site_label
_atom_site_type_symbol
_atom_site_fract_x
_atom_site_fract_y
_atom_site_fract_z
Pm1 Pm 0.000 0.000 0.000
Zn1 Zn 0.000 0.000 0.377
Zn2 Zn 0.000 0.500 0.245
Si1 Si 0.000 0.000 0.617
Ni1 Ni 0.000 0.500 0.731
# Mass density in g/cm3: 7.0
# Formation energy (no corrections) in eV per atom: -0.475

[2]
# PmSm5Ni2 (PBE, relaxed)
data_PmSm5Ni2
_chemical_formula_sum 'Pm4 Sm20 Ni8'
_cell_length_a 3.723
_cell_length_b 13.268
_cell_length_c 18.624
_cell_angle_alpha 90.00
_cell_angle_beta 90.00
_cell_angle_gamma 90.00
_symmetry_space_group_name_H-M 'C m c m'
_symmetry_Int_Tables_number 63
_symmetry_space_group_name_Hall '-C 2c 2'
loop_
_atom_site_label
_atom_site_type_symbol
_atom_site_fract_x
_atom_site_fract_y
_atom_site_fract_z
Pm1 Pm 0.000 0.199 0.250
Sm1 Sm 0.000 0.075 0.750
Sm2 Sm 0.000 0.172 0.060
Sm3 Sm 0.000 0.438 0.090
Ni1 Ni 0.000 0.212 0.637
# Electronic total energy in eV/atom: -5.09
# Mass density in g/cm3: 7.3

[3]
# Pm2SmNi2 (PBE, relaxed)
data_Pm2SmNi2
_chemical_formula_sum 'Pm8 Sm4 Ni8'
_cell_length_a 11.244
_cell_length_b 6.134
_cell_length_c 7.255
_cell_angle_alpha 90.00
_cell_angle_beta 101.89
_cell_angle_gamma 90.00
_symmetry_space_group_name_H-M 'C 1 2/c 1'
_symmetry_Int_Tables_number 15
_symmetry_space_group_name_Hall '-C 2yc'
loop_
_atom_site_label
_atom_site_type_symbol
_atom_site_fract_x
_atom_site_fract_y
_atom_site_fract_z
Pm1 Pm 0.156 0.103 0.153
Sm1 Sm 0.000 0.418 0.750
Ni1 Ni 0.157 0.341 0.507
# Electronic total energy in eV/atom: -5.41
# Mass density in g/cm3: 7.6

[4]
# Pm3Sm3Ni2 (PBE, relaxed)
data_Pm3Sm3Ni2
_chemical_formula_sum 'Pm12 Sm12 Ni8'
_cell_length_a 3.732
_cell_length_b 13.354
_cell_length_c 18.664
_cell_angle_alpha 90.00
_cell_angle_beta 90.00
_cell_angle_gamma 90.00
_symmetry_space_group_name_H-M 'C m c m'
_symmetry_Int_Tables_number 63
_symmetry_space_group_name_Hall '-C 2c 2'
loop_
_atom_site_label
_atom_site_type_symbol
_atom_site_fract_x
_atom_site_fract_y
_atom_site_fract_z
Pm1 Pm 0.000 0.059 0.250
Pm2 Pm 0.000 0.174 0.562
Sm1 Sm 0.000 0.216 0.750
Sm2 Sm 0.000 0.438 0.588
Ni1 Ni 0.000 0.204 0.138
# Electronic total energy in eV/atom: -5.10
# Mass density in g/cm3: 7.2

[5]
# PmSm2Ni2 (PBE, relaxed)
data_PmSm2Ni2
_chemical_formula_sum 'Pm4 Sm8 Ni8'
_cell_length_a 11.279
_cell_length_b 6.087
_cell_length_c 7.261
_cell_angle_alpha 90.00
_cell_angle_beta 101.98
_cell_angle_gamma 90.00
_symmetry_space_group_name_H-M 'C 1 2/c 1'
_symmetry_Int_Tables_number 15
_symmetry_space_group_name_Hall '-C 2yc'
loop_
_atom_site_label
_atom_site_type_symbol
_atom_site_fract_x
_atom_site_fract_y
_atom_site_fract_z
Pm1 Pm 0.000 0.085 0.250
Sm1 Sm 0.157 0.396 0.654
Ni1 Ni 0.157 0.158 0.007
# Electronic total energy in eV/atom: -5.40
# Mass density in g/cm3: 7.7

[6]
# Pm2SmNi (PBE, relaxed)
data_Pm2SmNi
_chemical_formula_sum 'Pm8 Sm4 Ni4'
_cell_length_a 3.757
_cell_length_b 12.041
_cell_length_c 9.879
_cell_angle_alpha 90.00
_cell_angle_beta 90.00
_cell_angle_gamma 90.00
_symmetry_space_group_name_H-M 'C m c m'
_symmetry_Int_Tables_number 63
_symmetry_space_group_name_Hall '-C 2c 2'
loop_
_atom_site_label
_atom_site_type_symbol
_atom_site_fract_x
_atom_site_fract_y
_atom_site_fract_z
Pm1 Pm 0.000 0.137 0.069
Sm1 Sm 0.000 0.414 0.250
Ni1 Ni 0.000 0.269 0.750
# Electronic total energy in eV/atom: -5.17
# Mass density in g/cm3: 7.4